# 1
# Nd8Cd2Os

A relaxed Nd8Cd2Os crystal (PBE, Alexandria).

Cell: 9.4647 9.4647 7.1632 Å, 108.25 108.25 33.73°
Closest atoms and distances in Å follow each position.
Element x y z (fractional)
Nd: 0.0184 0.0184 0.2881  2 Os 3.21, 1 Cd 3.21, 5 Nd 3.31-3.58
Nd: 0.1993 0.1993 0.7801  3 Cd 3.14-3.47
Nd: 0.3487 0.3487 0.5529  1 Os 2.89
Nd: 0.4072 0.4072 0.0827  1 Os 2.91
Nd: 0.5928 0.5928 0.9173  1 Os 2.91
Nd: 0.6513 0.6513 0.4471  1 Os 2.89
Nd: 0.8007 0.8007 0.2199  3 Cd 3.14-3.47
Nd: 0.9816 0.9816 0.7119  2 Os 3.21, 1 Cd 3.21, 5 Nd 3.31-3.58
Cd: 0.1818 0.1818 0.2024  9 Nd 3.14-3.49
Cd: 0.8182 0.8182 0.7976  9 Nd 3.14-3.49
Os: 0.5000 0.5000 0.5000  8 Nd 2.89-3.21

## Properties
* E_tot: -4.76 eV per atom
* formation energy from the elements: -106 meV per atom
* density of states at the Fermi level: 11.1 states/eV/cell

# 2
# Ba2TbBi2

A relaxed Ba2TbBi2 crystal (PBE, Alexandria).

Cell: 9.0658 9.0658 9.0658 Å, 123.34 76.42 133.26°
Closest atoms and distances in Å follow each position.
Element x y z (fractional)
Ba: 0.1458 0.1551 0.3010  5 Bi 3.55-3.75
Ba: 0.3542 0.6551 0.0093  5 Bi 3.55-3.75
Ba: 0.6458 0.3449 0.9907  5 Bi 3.55-3.75
Ba: 0.8542 0.8449 0.6990  5 Bi 3.55-3.75
Tb: 0.2500 0.7500 0.5000  4 Bi 3.15
Tb: 0.7500 0.2500 0.5000  4 Bi 3.15
Bi: 0.1099 0.7396 0.8495  2 Tb 3.15
Bi: 0.3901 0.2396 0.6297  2 Tb 3.15
Bi: 0.6099 0.7604 0.3703  2 Tb 3.15
Bi: 0.8901 0.2604 0.1505  2 Tb 3.15

## Properties
* E_tot: -4.02 eV per atom
* formation energy from the elements: -769 meV per atom
* density of states at the Fermi level: 6.8 states/eV/cell

> Among the records above, which one has the highest density of states at the Fermi level?

Nd8Cd2Os